# SrLa3 (PBEsol, optimized geometry)
# total DFT energy (no corrections): -4.374 eV/atom
# magnetization: 0.0 Bohr magnetons per cell
# formation energy: 37 kJ/mol of formula units
# crystal system: orthorhombic
data_SrLa3
_cell_length_a 3.689
_cell_length_b 5.280
_cell_length_c 7.666
_cell_angle_alpha 90.00
_cell_angle_beta 90.00
_cell_angle_gamma 90.00
_symmetry_space_group_name_H-M 'P m m m'
_symmetry_Int_Tables_number 47
_symmetry_space_group_name_Hall '-P 2 2'
loop_
_atom_site_label
_atom_site_type_symbol
_atom_site_fract_x
_atom_site_fract_y
_atom_site_fract_z
Sr1 Sr 0.000 0.000 0.000
La1 La 0.000 0.000 0.500
La2 La 0.500 0.500 0.282